DFT (PBE) results for an optimized crystal structure of TbZnS.

Results
Formation energy (no corrections), eV per atom: -1.20
Volume, A^3/atom: 22.05

a b c (Å): 7.883 7.883 7.883
angles (deg): 33.41 33.41 33.41
Fractional coordinates of all 6 atoms:
Tb1 0.085 0.085 0.085
Tb2 0.915 0.915 0.915
Zn1 0.330 0.330 0.330
Zn2 0.670 0.670 0.670
S1 0.215 0.215 0.215
S2 0.785 0.785 0.785

---

DFT (PBE) results for an optimized crystal structure of Tb5ZnS4.

Results
Formation energy (no corrections), eV per atom: -1.67
Volume, A^3/atom: 22.16

a b c (Å): 6.881 6.881 6.881
angles (deg): 99.59 99.59 131.83
Fractional coordinates of all 10 atoms:
Tb1 0.000 0.000 0.000
Tb2 0.196 0.602 0.798
Tb3 0.398 0.196 0.594
Tb4 0.602 0.804 0.406
Tb5 0.804 0.398 0.202
Zn1 0.500 0.500 0.000
S1 0.100 0.302 0.402
S2 0.302 0.900 0.202
S3 0.698 0.100 0.798
S4 0.900 0.698 0.598

---

DFT (PBE) results for an optimized crystal structure of Tb6ZrS8.

Results
Formation energy (no corrections), eV per atom: -1.98
Volume, A^3/atom: 22.28

a b c (Å): 7.790 7.790 7.790
angles (deg): 60.00 60.00 60.00
Fractional coordinates of all 15 atoms:
Tb1 0.000 0.000 0.500
Tb2 0.000 0.500 0.000
Tb3 0.000 0.500 0.500
Tb4 0.500 0.000 0.000
Tb5 0.500 0.000 0.500
Tb6 0.500 0.500 0.000
Zr1 0.000 0.000 0.000
S1 0.246 0.246 0.754
S2 0.246 0.754 0.246
S3 0.246 0.754 0.754
S4 0.250 0.250 0.250
S5 0.750 0.750 0.750
S6 0.754 0.246 0.246
S7 0.754 0.246 0.754
S8 0.754 0.754 0.246

---

DFT (PBE) results for an optimized crystal structure of TbZrS4.

Results
Formation energy (no corrections), eV per atom: -1.37
Volume, A^3/atom: 25.71

a b c (Å): 6.288 6.288 3.902
angles (deg): 90.00 90.00 90.62
Fractional coordinates of all 6 atoms:
Tb1 0.000 0.000 0.000
Zr1 0.500 0.500 0.500
S1 0.212 0.212 0.500
S2 0.310 0.690 0.000
S3 0.690 0.310 0.000
S4 0.788 0.788 0.500

---

DFT (PBE) results for an optimized crystal structure of Tb2ZrS6.

Results
Formation energy (no corrections), eV per atom: -1.36
Volume, A^3/atom: 26.47

a b c (Å): 6.307 6.307 11.978
angles (deg): 90.00 90.00 90.00
Fractional coordinates of all 18 atoms:
Tb1 0.000 0.000 0.171
Tb2 0.000 0.000 0.829
Tb3 0.500 0.500 0.329
Tb4 0.500 0.500 0.671
Zr1 0.000 0.000 0.500
Zr2 0.500 0.500 0.000
S1 0.196 0.196 0.345
S2 0.196 0.196 0.655
S3 0.210 0.210 0.000
S4 0.290 0.710 0.500
S5 0.304 0.696 0.155
S6 0.304 0.696 0.845
S7 0.696 0.304 0.155
S8 0.696 0.304 0.845
S9 0.710 0.290 0.500
S10 0.790 0.790 0.000
S11 0.804 0.804 0.345
S12 0.804 0.804 0.655

---

DFT (PBE) results for an optimized crystal structure of TbZr2S4.

Results
Formation energy (no corrections), eV per atom: -1.67
Volume, A^3/atom: 20.50

a b c (Å): 6.277 6.277 13.115
angles (deg): 90.00 90.00 146.25
Fractional coordinates of all 14 atoms:
Tb1 0.112 0.888 0.750
Tb2 0.888 0.112 0.250
Zr1 0.356 0.644 0.560
Zr2 0.356 0.644 0.940
Zr3 0.644 0.356 0.060
Zr4 0.644 0.356 0.440
S1 0.000 0.000 0.000
S2 0.000 0.000 0.500
S3 0.282 0.718 0.125
S4 0.282 0.718 0.375
S5 0.444 0.556 0.750
S6 0.556 0.444 0.250
S7 0.718 0.282 0.625
S8 0.718 0.282 0.875

---

DFT (PBE) results for an optimized crystal structure of TbZrS.

Results
Formation energy (no corrections), eV per atom: -0.58
Volume, A^3/atom: 22.96

a b c (Å): 4.417 4.417 4.076
angles (deg): 90.00 90.00 120.00
Fractional coordinates of all 3 atoms:
Tb1 0.000 0.000 0.000
Zr1 0.667 0.333 0.500
S1 0.333 0.667 0.500

---

DFT (PBE) results for an optimized crystal structure of TcS2.

Results
Formation energy (no corrections), eV per atom: -0.39
Volume, A^3/atom: 16.68

a b c (Å): 5.223 6.674 5.742
angles (deg): 90.00 90.00 90.00
Fractional coordinates of all 12 atoms:
Tc1 0.000 0.111 0.250
Tc2 0.000 0.889 0.750
Tc3 0.500 0.389 0.750
Tc4 0.500 0.611 0.250
S1 0.216 0.381 0.069
S2 0.216 0.619 0.569
S3 0.284 0.119 0.569
S4 0.284 0.881 0.069
S5 0.716 0.119 0.931
S6 0.716 0.881 0.431
S7 0.784 0.381 0.431
S8 0.784 0.619 0.931